Computed, not measured: an optimized crystal structure of KCe2US5 at the PBE level of DFT.

Geometry as POSCAR:
```
KCe2US5
1.0
5.028 0.000 0.000
0.000 7.173 0.000
-2.514 -3.586 6.980
Ce S U K
2 5 1 1
direct
0.204 0.204 0.408
0.796 0.796 0.592
0.349 0.612 0.698
0.349 0.086 0.698
0.651 0.914 0.302
0.000 0.000 0.000
0.651 0.388 0.302
0.500 0.000 0.000
0.000 0.500 0.000
```

## Properties
space group: No. 71
formation energy (no corrections): -1.636 eV per atom
calculated volume: 28.0 A^3/atom
final energy: -6.624 eV per atom